NpBTe | GGA-PBE | optimized geometry

Theoretical density in kg/m3: 9086
Symmetry: F-43m (216)
Excess energy over the best structure of this formula in the dataset in meV/atom: 804

```
NpBTe
1.0
1.734 -1.878 3.818
-2.154 0.562 4.020
-2.130 -3.556 1.983
Np B Te
1 1 1
direct
0.250 0.250 0.250
0.750 0.750 0.750
0.500 0.500 0.500
```